Record 1
Below is a relaxed structure of TiBeCI2, with properties calculated at the PBE level.

Values from the calculation:
ΔE_f (raw) = 0.8236 eV/atom
E_tot = -19.83 eV/cell

Unit cell a=5.4225 b=5.4225 c=3.4292 alpha=90.00 beta=90.00 gamma=90.00
Last column: nearest neighbours and their distance in Å.
Space group P4/mmm (No. 123)
Unique sites:
Ti 0.0000 0.0000 0.0000 x1  8 I 3.21, 2 Ti 3.43
Be 0.5000 0.5000 0.0000 x1  2 C 1.71
C 0.5000 0.5000 0.5000 x1  2 Be 1.71
I 0.0000 0.5000 0.5000 x2  2 C 2.71

Record 2
Below is a relaxed structure of PrGa2Ni4, with properties calculated at the PBE level.

Values from the calculation:
Energy relative to the elements = -361 meV/atom
E_tot = -109.47 eV/cell

Unit cell a=4.0896 b=4.0896 c=22.6960 alpha=90.00 beta=90.00 gamma=120.00
Last column: nearest neighbours and their distance in Å.
Space group R-3m (No. 166, hexagonal axes)
Unique sites:
Pr 0.0000 0.0000 0.0000 x3  6 Ga 3.11, 8 Ni 3.19-3.44
Ga 0.0000 0.0000 0.2444 x6  7 Ni 2.36-2.63
Ni 0.0000 0.0000 0.1404 x6  4 Ga 2.36-2.63, 3 Ni 2.46
Ni 0.0000 0.0000 0.4435 x6  3 Ga 2.41, 4 Ni 2.46-2.56

no.,size of the total moment (μB/f.u.)
1,2.4
2,0.0